1.
An optimized crystal structure of SrCdInNi. Source: Alexandria, functional PBE-GGA.

N(E_F) = 0.7259 states/eV/atom
Energy above the lowest structure with this stoichiometry = 158 meV per atom
DFT total energy = -2.8170 eV/atom

Cell: 4.240 4.433 5.784 Å, 90.00 90.00 90.00°
Element x y z (fractional)
Sr1 0.000 0.000 0.000
Cd1 0.500 0.000 0.488
In1 0.000 0.500 0.496
Ni1 0.500 0.500 0.229


2.
An optimized crystal structure of LiZn4Au5. Source: Alexandria, functional PBE-GGA.

N(E_F) = 0.2389 states/eV/atom
Energy above the lowest structure with this stoichiometry = 114 meV per atom
DFT total energy = -2.5049 eV/atom

Cell: 6.346 6.346 6.346 Å, 99.64 99.64 131.68°
Element x y z (fractional)
Li1 0.000 0.000 0.000
Zn1 0.032 0.408 0.858
Zn2 0.174 0.032 0.624
Zn3 0.408 0.550 0.376
Zn4 0.550 0.174 0.142
Au1 0.118 0.721 0.251
Au2 0.471 0.867 0.749
Au3 0.520 0.520 0.000
Au4 0.721 0.471 0.603
Au5 0.867 0.118 0.397


3.
An optimized crystal structure of TaCrPt2. Source: Alexandria, functional PBE-GGA.

N(E_F) = 1.1875 states/eV/atom
Energy above the lowest structure with this stoichiometry = 123 meV per atom
DFT total energy = -8.7610 eV/atom

Cell: 2.834 2.834 7.830 Å, 90.00 90.00 90.00°
Element x y z (fractional)
Ta1 0.000 0.000 0.000
Cr1 0.000 0.000 0.500
Pt1 0.500 0.500 0.256
Pt2 0.500 0.500 0.744


Question: What is the DFT total energy in the third record?
Answer: -8.7610 eV/atom


Question: Number 3 is which compound?
Answer: TaCrPt2